Na4LiCa after structural relaxation. Source: the Alexandria database, functional GGA-PBE.

Output
The value obtained for the density is 1.08 g cm⁻³. As for the volume: 35.49 Å³/atom. The value obtained for the calculated total energy is -1.418 eV per atom.

a = 9.4796 Å, b = 9.4796 Å, c = 9.4796 Å
α = 90.00°, β = 90.00°, γ = 90.00°
Last column: nearest neighbours and their distance in Å.
Space group F-43m (No. 216)
Unique sites:
Na  0.1254  0.1254  0.1254 x16  6 Na 3.34-3.36
Li  0.0000  0.0000  0.5000 x4  12 Na 3.93, 4 Ca 4.10
Ca  0.2500  0.2500  0.7500 x4  12 Na 3.93, 4 Li 4.10


NaLiCa6 after structural relaxation. Source: the Alexandria database, functional GGA-PBE.

Output
As for the energy above the most stable polymorph in this dataset: 71 meV per atom. The value obtained for the density is 1.41 g cm⁻³. As for the volume: 39.68 Å³/atom.

a = 6.8211 Å, b = 6.8222 Å, c = 6.8224 Å
α = 90.23°, β = 90.32°, γ = 90.14°
Last column: nearest neighbours and their distance in Å.
Space group P-1 (No. 2)
Unique sites:
Na  0.0000  0.0000  0.0000 x1  12 Ca 3.81-3.83
Li  0.5000  0.5000  0.5000 x1  12 Ca 3.80-3.82
Ca  0.9998  0.2521  0.5000 x2  2 Ca 3.38-3.44
Ca  0.2522  0.5000  0.0000 x2  2 Ca 3.38-3.44
Ca  0.5003  0.9998  0.2521 x2  2 Ca 3.38-3.44


NaLi4Ca4 after structural relaxation. Source: the Alexandria database, functional GGA-PBE.

Output
The value obtained for the density is 1.20 g cm⁻³. As for the volume: 32.56 Å³/atom. The value obtained for the calculated total energy is -1.781 eV per atom.

a = 5.8862 Å, b = 5.8862 Å, c = 16.9158 Å
α = 90.00°, β = 90.00°, γ = 90.00°
Last column: nearest neighbours and their distance in Å.
Space group I-42m (No. 121)
Unique sites:
Na  0.0000  0.0000  0.0000 x2  4 Li 2.83
Li  0.1853  0.1853  0.5640 x8  1 Na 2.83, 3 Li 3.07-3.09
Ca  0.2359  0.2359  0.8228 x8  2 Li 3.30, 1 Na 3.58